(1)
5
Lattice="4.041 0.000 0.000 0.000 4.041 0.000 0.000 0.000 6.990" Properties=species:S:1:pos:R:3 comment="LaAlBiO2 SCAN single point on PBEsol structure" total_magnetization_mub_per_atom=0.10 raw_formation_energy_ev_per_atom=-0.59 dos_ef_per_ev_atom=0.6168 spacegroup=P4/mmm pbc="T T T"
La 0.000 0.000 0.000
Al 0.000 0.000 3.495
Bi 2.020 2.020 0.000
O 0.000 2.020 3.495
O 2.020 0.000 3.495



(2)
5
Lattice="5.259 0.000 0.000 0.000 5.259 0.000 0.000 0.000 5.530" Properties=species:S:1:pos:R:3 comment="LaAlTcBi2 SCAN single point on PBEsol structure" formation_enthalpy_0k_mev_per_atom=902 total_magnetization_mub_per_atom=0.75 dos_ef_per_ev_atom=0.8047 spacegroup=P4/mmm pbc="T T T"
La 0.000 0.000 0.000
Al 0.000 0.000 2.765
Tc 2.629 2.629 0.000
Bi 0.000 2.629 2.765
Bi 2.629 0.000 2.765



(3)
5
Lattice="4.862 0.000 0.000 0.000 4.862 0.000 0.000 0.000 5.559" Properties=species:S:1:pos:R:3 comment="Li2AlBiTe SCAN single point on PBEsol structure" total_magnetization_mub_per_atom=0.04 raw_formation_energy_ev_per_atom=-0.09 dos_ef_per_ev_atom=0.6761 spacegroup=P4/mmm relative_energy_mev_per_atom=0 pbc="T T T"
Li 0.000 2.431 0.000
Li 2.431 0.000 0.000
Al 0.000 0.000 2.780
Bi 2.431 2.431 2.780
Te 0.000 0.000 0.000



(4)
5
Lattice="4.890 0.000 0.000 0.000 4.890 0.000 0.000 0.000 6.261" Properties=species:S:1:pos:R:3 comment="Li2AlBiTe SCAN single point on PBEsol structure" total_magnetization_mub_per_atom=0.06 raw_formation_energy_ev_per_atom=0.04 dos_ef_per_ev_atom=0.4647 spacegroup=P4/mmm relative_energy_mev_per_atom=130 pbc="T T T"
Li 0.000 2.445 0.000
Li 2.445 0.000 0.000
Al 0.000 0.000 3.130
Bi 2.445 2.445 3.130
Te 2.445 2.445 0.000



(5)
4
Lattice="0.000 3.688 3.688 3.688 0.000 3.688 3.688 3.688 0.000" Properties=species:S:1:pos:R:3 comment="MgAlBi2 SCAN single point on PBEsol structure" formation_enthalpy_0k_mev_per_atom=146 total_magnetization_mub_per_atom=0.00 dos_ef_per_ev_atom=0.6220 spacegroup=Fm-3m pbc="T T T"
Mg 0.000 0.000 0.000
Al 3.688 3.688 3.688
Bi 1.844 1.844 1.844
Bi 5.532 5.532 5.532



(6)
5
Lattice="5.357 0.000 0.000 0.000 5.357 0.000 0.000 0.000 5.357" Properties=species:S:1:pos:R:3 comment="MnAlBi3 SCAN single point on PBEsol structure" formation_enthalpy_0k_mev_per_atom=741 total_magnetization_mub_per_atom=1.04 dos_ef_per_ev_atom=0.8179 spacegroup=Pm-3m pbc="T T T"
Mn 0.000 0.000 0.000
Al 2.679 2.679 2.679
Bi 0.000 2.679 2.679
Bi 2.679 0.000 2.679
Bi 2.679 2.679 0.000



(7)
32
Lattice="7.354 0.000 0.000 0.000 8.462 0.000 0.000 0.000 5.660" Properties=species:S:1:pos:R:3 comment="MnAlBiO5 SCAN single point on PBEsol structure" total_magnetization_mub_per_atom=0.38 raw_formation_energy_ev_per_atom=-2.23 spacegroup=Pbam pbc="T T T"
Mn 0.000 0.000 1.382
Mn 0.000 0.000 4.277
Mn 3.677 4.231 1.382
Mn 3.677 4.231 4.277
Al 0.818 3.027 0.000
Al 2.860 7.259 0.000
Al 4.495 1.204 0.000
Al 6.537 5.435 0.000
Bi 1.022 5.645 2.830
Bi 2.655 1.414 2.830
Bi 4.699 7.048 2.830
Bi 6.332 2.817 2.830
O 0.000 4.231 1.198
O 0.000 4.231 4.462
O 0.760 1.744 1.365
O 0.760 1.744 4.295
O 1.147 7.879 0.000
O 1.156 8.020 2.830
O 2.521 3.788 2.830
O 2.530 3.648 0.000
O 2.917 5.975 1.365
O 2.917 5.975 4.295
O 3.677 0.000 1.198
O 3.677 0.000 4.462
O 4.437 2.487 1.365
O 4.437 2.487 4.295
O 4.824 4.814 0.000
O 4.833 4.674 2.830
O 6.199 0.443 2.830
O 6.207 0.583 0.000
O 6.594 6.718 1.365
O 6.594 6.718 4.295



(8)
5
Lattice="4.895 0.000 0.000 0.000 4.895 0.000 0.000 0.000 5.339" Properties=species:S:1:pos:R:3 comment="MnAlBiSb2 SCAN single point on PBEsol structure" total_magnetization_mub_per_atom=0.59 raw_formation_energy_ev_per_atom=0.52 dos_ef_per_ev_atom=0.6990 spacegroup=P4/mmm pbc="T T T"
Mn 0.000 0.000 0.000
Al 2.448 2.448 2.670
Bi 0.000 0.000 2.670
Sb 0.000 2.448 0.000
Sb 2.448 0.000 0.000



Number 1: volume 22.83 Å³/atom. Number 2: volume 30.59 Å³/atom. Number 3: volume 26.29 Å³/atom. Number 4: volume 29.95 Å³/atom. Number 5: volume 25.08 Å³/atom. Number 6: volume 30.75 Å³/atom. Number 7: volume 11.01 Å³/atom. Number 8: volume 25.59 Å³/atom.